Below is a relaxed KHoUSe4 crystal, with properties calculated at the PBE level.

Structure (POSCAR):
```
KHoUSe4
1.0
-0.069 -7.996 -3.746
-1.835 0.934 8.449
-5.598 2.865 -6.012
Se K Ho U
8 2 2 2
direct
0.264 0.529 0.725
0.731 0.037 0.268
0.736 0.471 0.275
0.269 0.963 0.732
0.694 0.963 0.732
0.264 0.529 0.304
0.736 0.471 0.696
0.306 0.037 0.268
0.879 0.759 0.129
0.121 0.241 0.871
0.500 0.000 0.500
0.500 0.000 0.000
0.000 0.500 0.500
0.500 0.500 0.500
```

Results
**Space group**: No. 74
**Electronic total energy**: -81.77 eV per cell
**DOS at the Fermi energy**: 0.630 states/eV/atom
**ΔE_f (raw)**: -1.43 eV/atom